No. 1
# Ta2Mo3

A PBEsol-optimized structure of Ta2Mo3 (SCAN, the Alexandria database).

Cell: 2.7815 2.7815 11.2301 Å, 94.63 94.63 110.36°
Last column: nearest neighbours and their distance in Å.
Element x y z (fractional)
Mo (0.2019, 0.2019, 0.4038)  6 Mo 2.66-2.78, 2 Ta 2.75
Mo (0.7981, 0.7981, 0.5962)  6 Mo 2.66-2.78, 2 Ta 2.75
Mo (0.0000, 0.0000, 0.0000)  4 Ta 2.75, 4 Mo 2.78
Ta (0.3992, 0.3992, 0.7985)  4 Mo 2.75, 4 Ta 2.78
Ta (0.6008, 0.6008, 0.2015)  4 Mo 2.75, 4 Ta 2.78

## Properties
Energy above the lowest structure with this stoichiometry in eV per atom: 0.098
Space group: Fmmm, No. 69
Energy of formation in meV/atom: -109
Total DFT energy (no corrections) in eV/atom: -47.67


No. 2
# TaTiAg2

A PBEsol-optimized structure of TaTiAg2 (SCAN, the Alexandria database).

Cell: 4.5746 4.5746 4.5746 Å, 60.00 60.00 60.00°
Last column: nearest neighbours and their distance in Å.
Element x y z (fractional)
Ti (0.0000, 0.0000, 0.0000)  8 Ag 2.80
Ag (0.2500, 0.2500, 0.2500)  4 Ta 2.80, 4 Ti 2.80
Ag (0.7500, 0.7500, 0.7500)  4 Ti 2.80, 4 Ta 2.80
Ta (0.5000, 0.5000, 0.5000)  8 Ag 2.80

## Properties
Space group: Fm-3m, No. 225
Energy of formation in meV/atom: 415
Total DFT energy (no corrections) in eV/atom: -35.92


No. 3
# MgTeO3

A PBEsol-optimized structure of MgTeO3 (SCAN, the Alexandria database).

Cell: 3.8065 3.8065 3.8065 Å, 90.00 90.00 90.00°
Last column: nearest neighbours and their distance in Å.
Element x y z (fractional)
Mg (0.5000, 0.5000, 0.5000)  6 O 1.90
O (0.0000, 0.5000, 0.5000)  2 Mg 1.90
O (0.5000, 0.0000, 0.5000)  2 Mg 1.90
O (0.5000, 0.5000, 0.0000)  2 Mg 1.90
Te (0.0000, 0.0000, 0.0000)  12 O 2.69

## Properties
Space group: Pm-3m, No. 221
Total DFT energy (no corrections) in eV/atom: -13.16


No. 4
# LiZr2BAu

A PBEsol-optimized structure of LiZr2BAu (SCAN, the Alexandria database).

Cell: 4.1933 4.5889 4.5889 Å, 90.00 90.00 90.00°
Last column: nearest neighbours and their distance in Å.
Element x y z (fractional)
B (0.0000, 0.0000, 0.0000)  2 Au 2.10, 4 Zr 2.29
Au (0.5000, 0.0000, 0.0000)  2 B 2.10
Zr (0.0000, 0.0000, 0.5000)  2 B 2.29
Zr (0.0000, 0.5000, 0.0000)  2 B 2.29
Li (0.5000, 0.5000, 0.5000)  8 Zr 3.11, 4 Au 3.24

## Properties
Energy above the lowest structure with this stoichiometry in eV per atom: 0.106
Space group: P4/mmm, No. 123
Energy of formation in meV/atom: -183
Total DFT energy (no corrections) in eV/atom: -28.26


No. 5
# CuRuNO2

A PBEsol-optimized structure of CuRuNO2 (SCAN, the Alexandria database).

Cell: 3.7249 3.8042 3.8042 Å, 90.00 90.00 90.00°
Last column: nearest neighbours and their distance in Å.
Element x y z (fractional)
Ru (0.0000, 0.0000, 0.0000)  2 N 1.86, 4 O 1.90
O (0.0000, 0.0000, 0.5000)  2 Ru 1.90
O (0.0000, 0.5000, 0.0000)  2 Ru 1.90
Cu (0.5000, 0.5000, 0.5000)  8 O 2.66, 4 N 2.69
N (0.5000, 0.0000, 0.0000)  2 Ru 1.86

## Properties
Space group: P4/mmm, No. 123
Total DFT energy (no corrections) in eV/atom: -14.22


No. 6
# MgIn3

A PBEsol-optimized structure of MgIn3 (SCAN, the Alexandria database).

Cell: 3.3348 5.4785 6.1985 Å, 116.23 105.60 90.00°
Last column: nearest neighbours and their distance in Å.
Element x y z (fractional)
Mg (0.0000, 0.3335, 0.0000)  10 In 3.16-3.30, 2 Mg 3.33
In (0.7429, 0.7375, 0.4859)  3 Mg 3.19-3.30, 9 In 3.21-3.33
In (0.2571, 0.2516, 0.5141)  3 Mg 3.19-3.30, 9 In 3.21-3.33
In (0.5000, 0.8442, 0.0000)  4 Mg 3.16-3.26, 8 In 3.21-3.33

## Properties
Space group: Imm2, No. 44
Energy of formation in meV/atom: -34
Total DFT energy (no corrections) in eV/atom: -26.32


No. 7
# Si2AgPt

A PBEsol-optimized structure of Si2AgPt (SCAN, the Alexandria database).

Cell: 3.4770 3.4770 5.0146 Å, 90.00 90.00 90.00°
Last column: nearest neighbours and their distance in Å.
Element x y z (fractional)
Ag (0.0000, 0.0000, 0.4671)  6 Si 2.51-2.65
Pt (0.5000, 0.5000, 0.7937)  6 Si 2.40-2.61
Si (0.0000, 0.0000, 0.9668)  2 Ag 2.51, 4 Pt 2.61
Si (0.5000, 0.5000, 0.2724)  2 Pt 2.40-2.61, 4 Ag 2.65

## Properties
Energy above the lowest structure with this stoichiometry in eV per atom: 0.128
Space group: P4mm, No. 99
Total DFT energy (no corrections) in eV/atom: -30.43


No. 8
# ZnSb2Pd

A PBEsol-optimized structure of ZnSb2Pd (SCAN, the Alexandria database).

Cell: 6.0008 6.0008 7.2737 Å, 114.36 114.36 90.00°
Last column: nearest neighbours and their distance in Å.
Element x y z (fractional)
Sb (0.3634, 0.8750, 0.2500)  2 Pd 2.55, 2 Zn 2.63
Sb (0.8866, 0.3750, 0.2500)  2 Pd 2.55, 2 Zn 2.63
Sb (0.1250, 0.1134, 0.7500)  2 Pd 2.55, 2 Zn 2.63
Sb (0.6250, 0.6366, 0.7500)  2 Pd 2.55, 2 Zn 2.63
Zn (0.7500, 0.2500, 0.5000)  4 Sb 2.63
Zn (0.5000, 0.5000, 0.0000)  4 Sb 2.63
Pd (0.2500, 0.7500, 0.5000)  4 Sb 2.55
Pd (0.0000, 0.0000, 0.0000)  4 Sb 2.55

## Properties
Space group: I-42d, No. 122
Total DFT energy (no corrections) in eV/atom: -30.19